Dy15Th2Sc2 | PBE-GGA | relaxed

DOS(E_F) = 99.150 states/eV per cell
Total energy = -269.4 eV per cell

abc: 10.9577 10.9577 17.8772
angles: 90.00 90.00 120.00
Space group R-3m (No. 166, hexagonal axes)
Unique sites:
1 Dy 0.0000 0.3031 0.0000
2 Dy 0.0000 0.5000 0.5000
3 Dy 0.0110 0.5055 0.1351
4 Th 0.0000 0.0000 0.0884
5 Sc 0.0000 0.0000 0.3057

=====

Dy2Th2Sc | PBE-GGA | relaxed

DOS(E_F) = 15.355 states/eV per cell
Total energy = -60.1 eV per cell

abc: 6.153 5.714 9.273
angles: 90.00 109.26 90.00
Space group P2_1/m (No. 11)
Unique sites:
1 Dy 0.039 0.250 0.396
2 Dy 0.236 0.250 0.799
3 Th 0.172 0.750 0.009
4 Th 0.430 0.250 0.206
5 Sc 0.377 0.750 0.406